{
  "formula": "La3Sm2HoP6",
  "functional": "PBE",
  "state": "optimized geometry",
  "cell": [[7.225, -0.001, 0.001], [-3.611, 6.258, 0.001], [-1.205, -2.086, 6.815]],
  "species": ["La", "P", "P", "P", "Sm", "La", "Ho", "P", "P", "P", "La", "Sm"],
  "frac_coords": [[0.167, 0.833, 0.500], [0.080, 0.409, 0.240], [0.591, 0.920, 0.760], [0.920, 0.591, 0.760], [0.666, 0.334, 0.000], [0.500, 0.500, 0.500], [0.000, 0.000, 0.000], [0.249, 0.249, 0.760], [0.409, 0.080, 0.240], [0.751, 0.751, 0.240], [0.833, 0.167, 0.500], [0.334, 0.666, 0.000]]
}


{
  "formula": "La3Tb2HoP6",
  "functional": "PBE",
  "state": "optimized geometry",
  "cell": [[-5.042, -3.996, -3.187], [0.171, 0.523, 7.159], [-2.462, 6.548, -1.619]],
  "species": ["P", "Tb", "La", "P", "La", "Tb", "Ho", "P", "La", "P", "P", "P"],
  "frac_coords": [[0.079, 0.411, 0.237], [0.333, 0.667, 0.000], [0.500, 0.500, 0.500], [0.747, 0.747, 0.237], [0.167, 0.833, 0.500], [0.667, 0.333, 0.000], [0.000, 0.000, 0.000], [0.411, 0.079, 0.237], [0.833, 0.167, 0.500], [0.589, 0.921, 0.763], [0.253, 0.253, 0.763], [0.921, 0.589, 0.763]]
}


{
  "formula": "La2TbHoP4",
  "functional": "PBE",
  "state": "optimized geometry",
  "cell": [[-0.514, -1.974, -3.607], [6.523, 2.125, -2.093], [0.511, -6.305, 3.378]],
  "species": ["P", "Ho", "P", "La", "P", "Tb", "La", "P"],
  "frac_coords": [[0.000, 0.256, 0.764], [0.500, 0.500, 0.000], [0.000, 0.744, 0.236], [0.500, 0.000, 0.500], [0.500, 0.247, 0.236], [0.000, 0.000, 0.000], [0.000, 0.500, 0.500], [0.500, 0.753, 0.764]]
}


{
  "formula": "La3TbHo2P6",
  "functional": "PBE",
  "state": "optimized geometry",
  "cell": [[7.169, -0.001, 0.001], [-3.583, 6.209, 0.001], [-1.195, -2.070, 6.758]],
  "species": ["La", "P", "Ho", "La", "P", "P", "P", "Tb", "P", "Ho", "P", "La"],
  "frac_coords": [[0.166, 0.834, 0.500], [0.079, 0.413, 0.236], [0.333, 0.667, 0.000], [0.834, 0.166, 0.500], [0.256, 0.256, 0.764], [0.744, 0.744, 0.236], [0.587, 0.921, 0.764], [0.000, 0.000, 0.000], [0.921, 0.587, 0.764], [0.667, 0.333, 0.000], [0.413, 0.079, 0.236], [0.500, 0.500, 0.500]]
}


{
  "formula": "LaHo2ThP4",
  "functional": "PBE",
  "state": "optimized geometry",
  "cell": [[4.102, 0.000, 0.000], [0.000, 7.064, -0.129], [0.000, 2.496, 6.658]],
  "species": ["P", "P", "Ho", "Th", "La", "P", "P", "Ho"],
  "frac_coords": [[0.500, 0.760, 0.251], [0.000, 0.238, 0.259], [0.000, 0.000, 0.000], [0.000, 0.500, 0.500], [0.500, 0.500, 0.000], [0.000, 0.762, 0.741], [0.500, 0.240, 0.749], [0.500, 0.000, 0.500]]
}


{
  "formula": "La2HoThP4",
  "functional": "PBE",
  "state": "optimized geometry",
  "cell": [[-0.599, 4.113, 0.327], [-6.930, -1.133, 1.552], [3.857, 0.074, 6.134]],
  "species": ["P", "La", "P", "Th", "P", "P", "Ho", "La"],
  "frac_coords": [[0.500, 0.757, 0.764], [0.000, 0.500, 0.500], [0.000, 0.251, 0.762], [0.500, 0.500, 0.000], [0.500, 0.243, 0.236], [0.000, 0.749, 0.238], [0.000, 0.000, 0.000], [0.500, 0.000, 0.500]]
}


In the order shown, the computed DOS(E_F) values come out to 0.089; 0.095; 0.089; 0.096; 0.201; 0.220 states/eV per atom.
In the order shown, the computed DFT formation energy values come out to -1.570; -1.581; -1.580; -1.580; -1.598; -1.595 eV per atom.